Entry a
A plane-wave DFT calculation with PBE was carried out for a relaxed structure of La6Al2Cd.

Unit cell a=9.1396 b=9.1396 c=9.1396 alpha=105.70 beta=112.09 gamma=110.69
Last column: nearest neighbours and their distance in Å.
Fractional coordinates of all 18 atoms:
Al 0.3641 0.0000 0.3641  1 Al 2.77
Al 0.6359 0.0000 0.6359  1 Al 2.77
Al 0.5000 0.3798 0.8798  1 Al 2.65
Al 0.5000 0.6202 0.1202  1 Al 2.65
La 0.9088 0.7266 0.1823  3 Al 3.28-3.39, 1 Cd 3.40
La 0.5443 0.7266 0.8177  3 Al 3.28-3.39, 1 Cd 3.40
La 0.2018 0.7509 0.9527  2 Al 3.21-3.37, 2 Cd 3.44-3.45
La 0.0912 0.2734 0.8177  3 Al 3.28-3.39, 1 Cd 3.40
La 0.7144 0.0374 0.3230  3 Al 3.16-3.27
La 0.7982 0.7509 0.5491  2 Al 3.21-3.37, 2 Cd 3.44-3.45
La 0.2856 0.6087 0.3230  3 Al 3.16-3.27
La 0.2856 0.9626 0.6770  3 Al 3.16-3.27
La 0.7144 0.3913 0.6770  3 Al 3.16-3.27
La 0.7982 0.2491 0.0473  2 Al 3.21-3.37, 2 Cd 3.44-3.45
La 0.2018 0.2491 0.4509  2 Al 3.21-3.37, 2 Cd 3.44-3.45
La 0.4557 0.2734 0.1823  3 Al 3.28-3.39, 1 Cd 3.40
Cd 0.0000 0.5000 0.5000  8 La 3.45-3.55
Cd 0.0000 0.0000 0.0000  8 La 3.40-3.44, 2 Al 3.72

Computed properties:
Crystal system: orthorhombic
Total magnetization: 0.000 μB per atom
N(E_F): 24.1 states/eV per cell

***

Entry b
A plane-wave DFT calculation with PBE was carried out for a relaxed structure of La6Al2Cd.

Unit cell a=7.9634 b=7.9634 c=10.9547 alpha=90.00 beta=90.00 gamma=90.00
Last column: nearest neighbours and their distance in Å.
Fractional coordinates of all 18 atoms:
La 0.7158 0.7158 0.0000  2 Al 3.03, 1 Cd 3.20
La 0.7729 0.2271 0.1735  2 Al 3.07-3.11, 1 Cd 3.19
La 0.7842 0.2158 0.5000  2 Al 3.03, 1 Cd 3.20
La 0.2271 0.7729 0.8265  2 Al 3.07-3.11, 1 Cd 3.19
La 0.7271 0.7271 0.3265  2 Al 3.07-3.11, 1 Cd 3.19
La 0.2158 0.7842 0.5000  2 Al 3.03, 1 Cd 3.20
La 0.2729 0.2729 0.6735  2 Al 3.07-3.11, 1 Cd 3.19
La 0.2271 0.7729 0.1735  2 Al 3.07-3.11, 1 Cd 3.19
La 0.2842 0.2842 0.0000  2 Al 3.03, 1 Cd 3.20
La 0.7729 0.2271 0.8265  2 Al 3.07-3.11, 1 Cd 3.19
La 0.7271 0.7271 0.6735  2 Al 3.07-3.11, 1 Cd 3.19
La 0.2729 0.2729 0.3265  2 Al 3.07-3.11, 1 Cd 3.19
Cd 0.5000 0.5000 0.5000  6 La 3.19-3.20
Cd 0.0000 0.0000 0.0000  6 La 3.19-3.20
Al 0.5000 0.5000 0.1655  6 La 3.03-3.11
Al 0.5000 0.5000 0.8345  6 La 3.03-3.11
Al 0.0000 0.0000 0.3345  6 La 3.03-3.11
Al 0.0000 0.0000 0.6655  6 La 3.03-3.11

Computed properties:
Crystal system: tetragonal
Total magnetization: 0.000 μB per atom
N(E_F): 28.0 states/eV per cell

***

Stability order, top to bottom: entry a, entry b

***

Entry a
A plane-wave DFT calculation with PBE was carried out for a relaxed structure of La3AlCd2.

Unit cell a=5.5045 b=5.5045 c=13.5054 alpha=90.00 beta=90.00 gamma=120.00
Last column: nearest neighbours and their distance in Å.
Fractional coordinates of all 12 atoms:
La 0.6667 0.3333 0.0897  1 Al 3.33, 7 Cd 3.34-3.44
La 0.0000 0.0000 0.7444  5 Cd 3.30-3.45, 3 Al 3.36
La 0.3333 0.6667 0.4163  4 Al 3.34-3.36, 4 Cd 3.37-3.39
La 0.0000 0.0000 0.2556  5 Cd 3.30-3.45, 3 Al 3.36
La 0.3333 0.6667 0.9103  1 Al 3.33, 7 Cd 3.34-3.44
La 0.6667 0.3333 0.5837  4 Al 3.34-3.36, 4 Cd 3.37-3.39
Cd 0.0000 0.0000 0.5000  8 La 3.30-3.37
Cd 0.6667 0.3333 0.8351  8 La 3.34-3.44
Cd 0.3333 0.6667 0.1649  8 La 3.34-3.44
Cd 0.0000 0.0000 0.0000  8 La 3.40-3.45
Al 0.3333 0.6667 0.6639  8 La 3.33-3.36
Al 0.6667 0.3333 0.3361  8 La 3.33-3.36

Computed properties:
Crystal system: trigonal
Total magnetization: 0.000 μB per atom
N(E_F): 15.3 states/eV per cell

***

Entry b
A plane-wave DFT calculation with PBE was carried out for a relaxed structure of La3AlCd2.

Unit cell a=3.8420 b=3.8420 c=11.9533 alpha=90.00 beta=90.00 gamma=90.00
Last column: nearest neighbours and their distance in Å.
Fractional coordinates of all 6 atoms:
La 0.0000 0.0000 0.0000  8 Cd 3.40
La 0.0000 0.0000 0.3453  4 Al 3.29, 4 Cd 3.43
La 0.0000 0.0000 0.6547  4 Al 3.29, 4 Cd 3.43
Cd 0.5000 0.5000 0.8294  8 La 3.40-3.43
Cd 0.5000 0.5000 0.1706  8 La 3.40-3.43
Al 0.5000 0.5000 0.5000  8 La 3.29

Computed properties:
Crystal system: tetragonal
Total magnetization: 0.058 μB per atom
N(E_F): 5.8 states/eV per cell

***

Stability order, top to bottom: entry b, entry a

***

Entry a
A plane-wave DFT calculation with PBE was carried out for a relaxed structure of LaAlCd3.

Unit cell a=6.1134 b=6.1134 c=6.1134 alpha=90.00 beta=90.00 gamma=90.00
Last column: nearest neighbours and their distance in Å.
Fractional coordinates of all 5 atoms:
Al 0.5000 0.5000 0.5000  12 Cd 4.32
Cd 0.0000 0.0000 0.5000  2 La 3.06
Cd 0.5000 0.0000 0.0000  2 La 3.06
Cd 0.0000 0.5000 0.0000  2 La 3.06
La 0.0000 0.0000 0.0000  6 Cd 3.06

Computed properties:
Crystal system: cubic
Total magnetization: 0.342 μB per atom
N(E_F): 6.7 states/eV per cell

***

Entry b
A plane-wave DFT calculation with PBE was carried out for a relaxed structure of LaAlCd3.

Unit cell a=5.1436 b=5.1436 c=5.1436 alpha=90.00 beta=90.00 gamma=90.00
Last column: nearest neighbours and their distance in Å.
Fractional coordinates of all 5 atoms:
Cd 0.0000 0.5000 0.0000  2 Al 2.57
Cd 0.5000 0.0000 0.0000  2 Al 2.57
Cd 0.0000 0.0000 0.5000  2 Al 2.57
Al 0.0000 0.0000 0.0000  6 Cd 2.57
La 0.5000 0.5000 0.5000  12 Cd 3.64

Computed properties:
Crystal system: cubic
Total magnetization: 0.000 μB per atom
N(E_F): 4.4 states/eV per cell

***

Stability order, top to bottom: entry b, entry a

***

Entry a
A plane-wave DFT calculation with PBE was carried out for a relaxed structure of La4AlCd.

Unit cell a=3.8726 b=8.9061 c=5.8567 alpha=90.04 beta=90.00 gamma=90.00
Last column: nearest neighbours and their distance in Å.
Fractional coordinates of all 6 atoms:
La 0.5000 0.7207 0.9994  2 Al 3.15, 1 Cd 3.52
La 0.0000 0.2003 0.5008  2 Cd 3.30, 2 Al 3.43, 5 La 3.57-3.58
La 0.5000 0.2793 0.0006  2 Al 3.15, 1 Cd 3.52
La 0.0000 0.7997 0.4992  2 Cd 3.30, 2 Al 3.43, 5 La 3.57-3.58
Al 0.0000 0.0000 0.0000  8 La 3.15-3.43
Cd 0.5000 0.5000 0.5000  8 La 3.30-3.53

Computed properties:
Crystal system: orthorhombic
Total magnetization: 0.000 μB per atom
N(E_F): 7.5 states/eV per cell

***

Entry b
A plane-wave DFT calculation with PBE was carried out for a relaxed structure of La4AlCd.

Unit cell a=6.4837 b=6.4837 c=6.4837 alpha=60.00 beta=60.00 gamma=60.00
Last column: nearest neighbours and their distance in Å.
Fractional coordinates of all 6 atoms:
La 0.8700 0.3767 0.3767  6 La 3.20-3.28
La 0.3767 0.3767 0.3767  6 La 3.20-3.28
La 0.3767 0.8700 0.3767  6 La 3.20-3.28
La 0.3767 0.3767 0.8700  6 La 3.20-3.28
Cd 0.0000 0.0000 0.0000  12 La 3.81, 4 Al 3.97
Al 0.7500 0.7500 0.7500  12 La 3.80, 4 Cd 3.97

Computed properties:
Crystal system: cubic
Total magnetization: 0.002 μB per atom
N(E_F): 8.8 states/eV per cell

***

Stability order, top to bottom: entry a, entry b

***

Entry a
A plane-wave DFT calculation with PBE was carried out for a relaxed structure of La6AlCd.

Unit cell a=5.0244 b=5.0244 c=10.0419 alpha=90.00 beta=90.00 gamma=90.00
Last column: nearest neighbours and their distance in Å.
Fractional coordinates of all 8 atoms:
La 0.0000 0.5000 0.2576  8 La 3.50-3.61, 2 Al 3.50, 2 Cd 3.61
La 0.0000 0.5000 0.7424  8 La 3.50-3.61, 2 Al 3.50, 2 Cd 3.61
La 0.5000 0.0000 0.2576  8 La 3.50-3.61, 2 Al 3.50, 2 Cd 3.61
La 0.5000 0.5000 0.0000  4 Cd 3.55, 8 La 3.61
La 0.5000 0.5000 0.5000  8 La 3.50, 4 Al 3.55
La 0.5000 0.0000 0.7424  8 La 3.50-3.61, 2 Al 3.50, 2 Cd 3.61
Al 0.0000 0.0000 0.5000  12 La 3.50-3.55
Cd 0.0000 0.0000 0.0000  12 La 3.55-3.61

Computed properties:
Crystal system: tetragonal
Total magnetization: 0.000 μB per atom
N(E_F): 11.4 states/eV per cell

***

Entry b
A plane-wave DFT calculation with PBE was carried out for a relaxed structure of La6AlCd.

Unit cell a=8.8567 b=8.8638 c=6.3901 alpha=46.27 beta=46.36 gamma=62.95
Last column: nearest neighbours and their distance in Å.
Fractional coordinates of all 8 atoms:
Al 0.5000 0.5000 0.5000  6 La 3.24-3.25
Cd 0.0000 0.0000 0.0000  12 La 3.50-3.72
La 0.5317 0.2550 0.2608  1 Al 3.25, 3 La 3.26-3.64, 1 Cd 3.50
La 0.2543 0.0494 0.2254  1 Al 3.25, 2 La 3.27-3.30, 1 Cd 3.50
La 0.7457 0.9506 0.7746  1 Al 3.25, 2 La 3.27-3.30, 1 Cd 3.50
La 0.4683 0.7450 0.7392  1 Al 3.25, 3 La 3.26-3.64, 1 Cd 3.50
La 0.9506 0.4703 0.3244  1 Al 3.24, 2 La 3.26-3.29, 1 Cd 3.50
La 0.0494 0.5297 0.6756  1 Al 3.24, 2 La 3.26-3.29, 1 Cd 3.50

Computed properties:
Crystal system: triclinic
Total magnetization: 0.000 μB per atom
N(E_F): 9.2 states/eV per cell

***

Stability order, top to bottom: entry a, entry b

***

Entry a
A plane-wave DFT calculation with PBE was carried out for a relaxed structure of LaPrAlCd.

Unit cell a=5.4518 b=5.4518 c=5.4518 alpha=60.00 beta=60.00 gamma=60.00
Last column: nearest neighbours and their distance in Å.
Fractional coordinates of all 4 atoms:
La 0.5000 0.5000 0.5000  4 Cd 3.34, 4 Al 3.34
Cd 0.2500 0.2500 0.2500  4 La 3.34, 4 Pr 3.34
Pr 0.0000 0.0000 0.0000  4 Al 3.34, 4 Cd 3.34
Al 0.7500 0.7500 0.7500  4 Pr 3.34, 4 La 3.34

Computed properties:
Crystal system: cubic
Total magnetization: 0.000 μB per atom
N(E_F): 5.2 states/eV per cell

***

Entry b
A plane-wave DFT calculation with PBE was carried out for a relaxed structure of LaPrAlCd.

Unit cell a=3.7052 b=3.7052 c=8.2355 alpha=90.00 beta=90.00 gamma=90.00
Last column: nearest neighbours and their distance in Å.
Fractional coordinates of all 4 atoms:
Al 0.0000 0.0000 0.3614  4 Pr 3.24, 4 La 3.28
Cd 0.0000 0.0000 0.8505  4 Pr 3.37, 4 La 3.45, 4 Cd 3.71
La 0.5000 0.5000 0.1226  4 Al 3.28, 4 Cd 3.45
Pr 0.5000 0.5000 0.5934  4 Al 3.24, 4 Cd 3.37

Computed properties:
Crystal system: tetragonal
Total magnetization: 0.000 μB per atom
N(E_F): 2.1 states/eV per cell

***

Stability order, top to bottom: entry b, entry a